A relaxed Co2Ag2OsO6 crystal. Source: the Alexandria database, functional PBE+U.

Computed properties:
magnetization: 1.99 μB/f.u.
uncorrected energy: -5.7568 eV/atom

a = 5.188 Å, b = 8.654 Å, c = 6.195 Å
α = 90.00°, β = 103.31°, γ = 90.00°
Space group C2/m (No. 12)
Symmetry-distinct sites (fractional):
Co  0.000  0.168  0.000 (multiplicity 4)
Ag  0.000  0.178  0.500 (multiplicity 4)
Os  0.000  0.500  0.000 (multiplicity 2)
O  0.114  0.000  0.831 (multiplicity 4)
O  0.129  0.329  0.833 (multiplicity 8)